Entry 1:
# Cr2Cu3Pd4

A relaxed structure of Cr2Cu3Pd4 (PBE, Alexandria).

Lattice parameters (Å, degrees): 3.9028 4.6154 8.0998 75.49 90.02 64.98
Site moments in Bohr magnetons follow the coordinates.
Atoms (fractional coordinates):
Cu  0.6629  0.6756  0.5499  0.06
Pd  0.9908  0.0189  0.6650  0.08
Cr  0.3291  0.3421  0.7770  3.12
Pd  0.3354  0.3293  0.1126  0.03
Cu  0.0000  0.0000  0.0000  0.05
Pd  0.6646  0.6707  0.8874  0.03
Cr  0.6709  0.6579  0.2230  3.12
Cu  0.3371  0.3244  0.4501  0.06
Pd  0.0092  0.9811  0.3350  0.08

Summary:
- energy of formation (eV per atom) = -0.028
- VASP energy (eV per atom) = -5.839

=====

Entry 2:
# CrCuPd4

A relaxed structure of CrCuPd4 (PBE, Alexandria).

Lattice parameters (Å, degrees): 2.8227 2.8224 11.0404 90.00 90.00 90.00
Site moments in Bohr magnetons follow the coordinates.
Atoms (fractional coordinates):
Pd  0.0000  0.5000  0.6601  0.11
Pd  0.5000  0.0000  0.8430  0.01
Cu  0.0000  0.5000  0.0000  0.01
Pd  0.0000  0.5000  0.3399  0.11
Pd  0.5000  0.0000  0.1570  0.01
Cr  0.5000  0.0000  0.5000  2.84

Summary:
- energy of formation (eV per atom) = -0.044
- energy above the lowest structure with this stoichiometry (kJ/mol of formula units) = 0
- VASP energy (eV per atom) = -5.792

=====

Entry 3:
# CrCu2Pd

A relaxed structure of CrCu2Pd (PBE, Alexandria).

Lattice parameters (Å, degrees): 6.7008 6.7008 5.3594 51.31 51.31 90.00
Atoms (fractional coordinates):
Cu  0.8750  0.8601  0.7500
Cr  0.2500  0.7500  0.5000
Pd  0.7500  0.2500  0.5000
Cu  0.6101  0.1250  0.2500
Cu  0.1399  0.6250  0.2500
Cr  0.5000  0.5000  0.0000
Cu  0.3750  0.3899  0.7500
Pd  0.0000  0.0000  0.0000

Summary:
- energy of formation (eV per atom) = 0.698
- VASP energy (eV per atom) = -5.054

=====

Entry 4:
# CrCu6Pd8

A relaxed structure of CrCu6Pd8 (PBE, Alexandria).

Lattice parameters (Å, degrees): 5.1055 7.2345 7.2345 120.00 90.00 90.00
Site moments in Bohr magnetons follow the coordinates.
Atoms (fractional coordinates):
Cu  0.6527  0.9986  0.6636  0.02
Pd  0.5051  0.3333  0.6667  0.02
Cu  0.3473  0.3349  0.9986  0.02
Cu  0.6527  0.6651  0.0014  0.02
Pd  0.8482  0.6741  0.6747  0.00
Pd  0.8482  0.3253  0.9994  0.00
Pd  0.4949  0.6667  0.3333  0.02
Pd  0.1518  0.6747  0.0006  0.00
Cu  0.6527  0.3364  0.3349  0.02
Pd  0.1518  0.9994  0.6741  0.00
Cu  0.3473  0.6636  0.6651  0.02
Pd  0.8482  0.0006  0.3259  0.00
Cu  0.3473  0.0014  0.3364  0.02
Cr  0.5000  0.0000  0.0000  3.32
Pd  0.1518  0.3259  0.3253  0.00

Summary:
- energy of formation (eV per atom) = 0.135
- energy above the lowest structure with this stoichiometry (kJ/mol of formula units) = 57
- VASP energy (eV per atom) = -4.914

=====

Entry 5:
# CrCu2Pd6

A relaxed structure of CrCu2Pd6 (PBE, Alexandria).

Lattice parameters (Å, degrees): 3.9410 4.6945 8.2852 71.49 76.24 65.18
Site moments in Bohr magnetons follow the coordinates.
Atoms (fractional coordinates):
Pd  0.0015  0.8187  0.1784  0.01
Pd  0.6630  0.0694  0.6045  -0.01
Cr  0.0000  0.5000  0.5000  2.90
Cu  0.6719  0.3819  0.2744  0.03
Pd  0.9985  0.1813  0.8216  0.01
Pd  0.3330  0.2774  0.0565  0.00
Pd  0.3370  0.9306  0.3955  -0.01
Pd  0.6670  0.7226  0.9435  0.00
Cu  0.3281  0.6181  0.7256  0.03

Summary:
- energy of formation (eV per atom) = -0.073
- energy above the lowest structure with this stoichiometry (kJ/mol of formula units) = 0
- VASP energy (eV per atom) = -5.515

=====

Entry 6:
# CrCu2Pd5

A relaxed structure of CrCu2Pd5 (PBE, Alexandria).

Lattice parameters (Å, degrees): 3.9399 5.4441 10.7778 90.00 90.00 90.00
Site moments in Bohr magnetons follow the coordinates.
Atoms (fractional coordinates):
Cu  0.5000  0.2188  0.8706  0.02
Pd  0.5000  0.7813  0.3831  -0.03
Pd  0.0000  0.4599  0.7574  -0.05
Cu  0.5000  0.7812  0.1294  0.02
Pd  0.5000  0.7187  0.8831  -0.03
Cu  0.5000  0.2812  0.3706  0.02
Pd  0.0000  0.0000  0.0000  0.02
Cr  0.0000  0.0000  0.5000  2.92
Pd  0.5000  0.2813  0.1169  -0.03
Pd  0.0000  0.5000  0.5000  0.02
Cr  0.0000  0.5000  0.0000  2.92
Pd  0.0000  0.0401  0.2574  -0.05
Pd  0.0000  0.9599  0.7426  -0.05
Pd  0.5000  0.2187  0.6169  -0.03
Cu  0.5000  0.7188  0.6294  0.02
Pd  0.0000  0.5401  0.2426  -0.05

Summary:
- energy of formation (eV per atom) = -0.080
- energy above the lowest structure with this stoichiometry (kJ/mol of formula units) = 0
- VASP energy (eV per atom) = -5.553

=====

Entry 7:
# Cr2CuPd8

A relaxed structure of Cr2CuPd8 (PBE, Alexandria).

Lattice parameters (Å, degrees): 4.1745 6.9538 7.0638 119.49 107.19 90.00
Site moments in Bohr magnetons follow the coordinates.
Atoms (fractional coordinates):
Pd  0.6541  0.8707  0.3082  0.00
Cr  0.1981  0.6981  0.3962  2.75
Cu  0.5000  0.0000  0.0000  0.02
Pd  0.1476  0.1476  0.2952  -0.05
Pd  0.0000  0.3077  0.0000  -0.07
Pd  0.3459  0.1293  0.6918  0.00
Pd  0.0000  0.6923  0.0000  -0.07
Pd  0.6541  0.4374  0.3082  0.00
Pd  0.3459  0.5626  0.6918  0.00
Pd  0.8524  0.8524  0.7048  -0.05
Cr  0.8019  0.3019  0.6038  2.75

Summary:
- energy of formation (eV per atom) = 0.009
- energy above the lowest structure with this stoichiometry (kJ/mol of formula units) = 5
- VASP energy (eV per atom) = -5.890

=====

Entry 8:
# Cr2Cu2Pd7

A relaxed structure of Cr2Cu2Pd7 (PBE, Alexandria).

Lattice parameters (Å, degrees): 6.6824 4.9497 4.9497 94.87 97.96 97.96
Atoms (fractional coordinates):
Pd  0.7882  0.0750  0.4525
Cr  0.5000  0.6424  0.3576
Pd  0.5937  0.8528  0.8528
Cr  0.5000  0.3576  0.6424
Pd  0.2118  0.9250  0.5475
Pd  0.4063  0.1472  0.1472
Pd  0.2118  0.5475  0.9250
Cu  0.1356  0.3961  0.3961
Pd  0.7882  0.4525  0.0750
Cu  0.8644  0.6039  0.6039
Pd  0.0000  0.0000  0.0000

Summary:
- energy of formation (eV per atom) = 0.054
- VASP energy (eV per atom) = -5.745

=====

Entry 9:
# CrCu2Pd8

A relaxed structure of CrCu2Pd8 (PBE, Alexandria).

Lattice parameters (Å, degrees): 4.6050 6.4887 6.4887 84.06 77.93 77.93
Site moments in Bohr magnetons follow the coordinates.
Atoms (fractional coordinates):
Cu  0.5336  0.8635  0.8635  0.03
Cr  0.0000  0.0000  0.0000  2.32
Pd  0.7997  0.1574  0.6740  -0.02
Pd  0.7003  0.5826  0.5826  -0.04
Pd  0.2003  0.3260  0.8426  -0.02
Cu  0.4664  0.1365  0.1365  0.03
Pd  0.1086  0.7382  0.7382  -0.03
Pd  0.8914  0.2618  0.2618  -0.03
Pd  0.7997  0.6740  0.1574  -0.02
Pd  0.2003  0.8426  0.3260  -0.02
Pd  0.2997  0.4174  0.4174  -0.04

Summary:
- energy of formation (eV per atom) = 0.269
- energy above the lowest structure with this stoichiometry (kJ/mol of formula units) = 222
- VASP energy (eV per atom) = -5.127

=====

Entry 10:
# CrCu2Pd2

A relaxed structure of CrCu2Pd2 (PBE, Alexandria).

Lattice parameters (Å, degrees): 3.8354 4.6297 4.7254 79.59 66.06 65.53
Site moments in Bohr magnetons follow the coordinates.
Atoms (fractional coordinates):
Cr  0.0000  0.0000  0.0000  3.15
Cu  0.1950  0.2042  0.4058  0.04
Cu  0.8050  0.7958  0.5942  0.04
Pd  0.5919  0.6146  0.2016  0.06
Pd  0.4081  0.3854  0.7984  0.06

Summary:
- energy of formation (eV per atom) = -0.009
- energy above the lowest structure with this stoichiometry (kJ/mol of formula units) = 0
- VASP energy (eV per atom) = -5.650

=====

Entry 11:
# CrCuPdRh

A relaxed structure of CrCuPdRh (PBE, Alexandria).

Lattice parameters (Å, degrees): 4.2738 4.2738 4.2738 60.00 60.00 60.00
Site moments in Bohr magnetons follow the coordinates.
Atoms (fractional coordinates):
Pd  0.0000  0.0000  0.0000  0.09
Rh  0.5000  0.5000  0.5000  -0.24
Cr  0.7500  0.7500  0.7500  2.57
Cu  0.2500  0.2500  0.2500  -0.05

Summary:
- energy of formation (eV per atom) = 0.008
- VASP energy (eV per atom) = -6.558

=====

Entry 12:
# Cr2CuPdRu

A relaxed structure of Cr2CuPdRu (PBE, Alexandria).

Lattice parameters (Å, degrees): 4.4704 4.8145 4.4704 90.00 90.00 90.00
Site moments in Bohr magnetons follow the coordinates.
Atoms (fractional coordinates):
Cr  0.0000  0.0000  0.5000  0.45
Pd  0.0000  0.0000  0.0000  -0.09
Cr  0.5000  0.0000  0.0000  0.22
Cu  0.5000  0.5000  0.5000  -0.03
Ru  0.0000  0.5000  0.0000  -1.60

Summary:
- energy of formation (eV per atom) = 2.047
- VASP energy (eV per atom) = -5.515